First-principles (PBE) data for BaSrCuPd after structural relaxation, as listed in Alexandria.

The structure in CIF format:
```
data_BaSrCuPd
_chemical_formula_sum 'Ba3 Sr3 Cu3 Pd3'
_symmetry_space_group_name_H-M 'R 3 m'
_symmetry_Int_Tables_number 160
_symmetry_space_group_name_Hall 'R 3 -2"'
_cell_length_a 4.4965
_cell_length_b 4.4965
_cell_length_c 23.9783
_cell_angle_alpha 90.00
_cell_angle_beta 90.00
_cell_angle_gamma 120.00
loop_
_atom_site_label
_atom_site_fract_x
_atom_site_fract_y
_atom_site_fract_z
Ba1 0.0000 0.0000 0.0000
Sr1 0.0000 0.0000 0.8331
Cu1 0.0000 0.0000 0.5787
Pd1 0.0000 0.0000 0.2457
```

- formation enthalpy at 0 K (eV per atom) = -0.334
- VASP energy (eV per atom) = -3.56
- density of states at the Fermi level (states/eV/atom) = 0.972
- crystal system = trigonal

***

First-principles (PBE) data for CaAlIn2 after structural relaxation, as listed in Alexandria.

The structure in CIF format:
```
data_CaAlIn2
_chemical_formula_sum 'Ca1 Al1 In2'
_symmetry_space_group_name_H-M 'P 4/m m m'
_symmetry_Int_Tables_number 123
_symmetry_space_group_name_Hall '-P 4 2'
_cell_length_a 4.594
_cell_length_b 4.594
_cell_length_c 4.564
_cell_angle_alpha 90.00
_cell_angle_beta 90.00
_cell_angle_gamma 90.00
loop_
_atom_site_label
_atom_site_fract_x
_atom_site_fract_y
_atom_site_fract_z
Ca1 0.000 0.000 0.000
Al1 0.500 0.500 0.000
In1 0.000 0.500 0.500
```

- formation enthalpy at 0 K (eV per atom) = -0.220
- VASP energy (eV per atom) = -3.03
- density of states at the Fermi level (states/eV/atom) = 0.481
- crystal system = tetragonal

***

First-principles (PBE) data for TlV2Te3 after structural relaxation, as listed in Alexandria.

The structure in CIF format:
```
data_TlV2Te3
_chemical_formula_sum 'Tl4 V8 Te12'
_symmetry_space_group_name_H-M 'C m c m'
_symmetry_Int_Tables_number 63
_symmetry_space_group_name_Hall '-C 2c 2'
_cell_length_a 4.082
_cell_length_b 15.753
_cell_length_c 10.488
_cell_angle_alpha 90.00
_cell_angle_beta 90.00
_cell_angle_gamma 90.00
loop_
_atom_site_label
_atom_site_fract_x
_atom_site_fract_y
_atom_site_fract_z
Tl1 0.000 0.236 0.250
V1 0.000 0.000 0.000
V2 0.000 0.467 0.750
Te1 0.000 0.072 0.750
Te2 0.000 0.378 0.541
```

- E_form (uncorrected) (eV per atom) = -0.222
- VASP energy (eV per atom) = -5.23
- density of states at the Fermi level (states/eV/atom) = 0.613
- crystal system = orthorhombic

***

First-principles (PBE) data for AsRuW2 after structural relaxation, as listed in Alexandria.

The structure in CIF format:
```
data_AsRuW2
_chemical_formula_sum 'As1 Ru1 W2'
_symmetry_space_group_name_H-M 'P m m 2'
_symmetry_Int_Tables_number 25
_cell_length_a 2.941
_cell_length_b 4.098
_cell_length_c 5.167
_cell_angle_alpha 90.00
_cell_angle_beta 90.00
_cell_angle_gamma 90.00
loop_
_symmetry_equiv_pos_as_xyz
'x,y,z'
'-x,-y,z'
'-x,y,z'
'x,-y,z'
loop_
_atom_site_label
_atom_site_fract_x
_atom_site_fract_y
_atom_site_fract_z
As1 0.000 0.000 0.000
Ru1 0.500 0.500 0.234
W1 0.000 0.000 0.495
W2 0.500 0.500 0.738
```

- formation enthalpy at 0 K (eV per atom) = 0.266
- VASP energy (eV per atom) = -9.69
- density of states at the Fermi level (states/eV/atom) = 0.765
- crystal system = orthorhombic